DFT (meta-GGA SCAN) results for Y2CrAs at its PBEsol-relaxed geometry.

abc: 6.0584 6.0584 6.0584
angles: 144.34 137.31 56.80
Last column: nearest neighbours and their distance in Å.
Element x y z (fractional)
Y (0.0000, 0.0000, 0.0000)  4 As 2.93, 2 Cr 3.25, 2 Y 3.28
Y (0.7274, 0.2274, 0.5000)  4 Cr 2.93, 2 As 3.24, 2 Y 3.28
Cr (0.2765, 0.7765, 0.5000)  2 As 2.62, 4 Y 2.93
As (0.4495, 0.4495, 0.0000)  2 Cr 2.62

Results
volume = 21.801 Å³/atom
formation enthalpy at 0 K = -0.53 eV/atom
energy = -96.4 eV per cell
density of states at the Fermi level = 0.760 states/eV per atom


DFT (meta-GGA SCAN) results for MgAuBr2 at its PBEsol-relaxed geometry.

abc: 4.8350 4.8350 3.6829
angles: 90.00 90.00 90.00
Last column: nearest neighbours and their distance in Å.
Element x y z (fractional)
Mg (0.0000, 0.0000, 0.0000)  8 Br 3.04
Au (0.5000, 0.5000, 0.0000)  8 Br 3.04
Br (0.0000, 0.5000, 0.5000)  4 Mg 3.04, 4 Au 3.04
Br (0.5000, 0.0000, 0.5000)  4 Mg 3.04, 4 Au 3.04

Results
volume = 21.524 Å³/atom
energy = -113.7 eV per cell
density of states at the Fermi level = 0.337 states/eV per atom
formation energy (no corrections) = -167 meV per atom


DFT (meta-GGA SCAN) results for SnBi3Pb at its PBEsol-relaxed geometry.

abc: 5.7046 5.7046 5.7046
angles: 90.00 90.00 90.00
Last column: nearest neighbours and their distance in Å.
Element x y z (fractional)
Sn (0.0000, 0.0000, 0.0000)  6 Bi 2.85
Bi (0.0000, 0.0000, 0.5000)  2 Sn 2.85
Bi (0.0000, 0.5000, 0.0000)  2 Sn 2.85
Bi (0.5000, 0.0000, 0.0000)  2 Sn 2.85
Pb (0.5000, 0.5000, 0.5000)  12 Bi 4.03

Results
volume = 37.128 Å³/atom
formation enthalpy at 0 K = 0.68 eV/atom
energy = -344.1 eV per cell
density of states at the Fermi level = 0.941 states/eV per atom


DFT (meta-GGA SCAN) results for Sc5Hg3 at its PBEsol-relaxed geometry.

abc: 6.0833 6.0833 4.8123
angles: 90.00 90.00 106.71
Last column: nearest neighbours and their distance in Å.
Element x y z (fractional)
Sc (0.0000, 0.0000, 0.0000)  8 Sc 3.04-3.13, 4 Hg 3.21
Sc (0.0000, 0.5000, 0.0000)  6 Hg 3.03-3.04, 2 Sc 3.04
Sc (0.2767, 0.2767, 0.5000)  6 Hg 2.90-3.20, 3 Sc 3.13-3.24
Sc (0.5000, 0.0000, 0.0000)  6 Hg 3.03-3.04, 2 Sc 3.04
Sc (0.7233, 0.7233, 0.5000)  6 Hg 2.90-3.20, 3 Sc 3.13-3.24
Hg (0.2180, 0.7820, 0.5000)  10 Sc 2.93-3.21
Hg (0.5000, 0.5000, 0.0000)  8 Sc 2.90-3.04
Hg (0.7820, 0.2180, 0.5000)  10 Sc 2.93-3.21

Results
volume = 21.322 Å³/atom
formation enthalpy at 0 K = -0.50 eV/atom
energy = -279.7 eV per cell
density of states at the Fermi level = 0.996 states/eV per atom


DFT (meta-GGA SCAN) results for Re2Os at its PBEsol-relaxed geometry.

abc: 7.2934 7.2934 4.3827
angles: 90.00 90.00 158.29
Last column: nearest neighbours and their distance in Å.
Element x y z (fractional)
Re (0.0555, 0.9445, 0.7500)  10 Re 2.71-2.78, 2 Os 2.76
Re (0.3872, 0.6128, 0.7500)  4 Os 2.70-2.72, 8 Re 2.71-2.78
Re (0.6128, 0.3872, 0.2500)  4 Os 2.70-2.72, 8 Re 2.71-2.78
Re (0.9445, 0.0555, 0.2500)  10 Re 2.71-2.78, 2 Os 2.76
Os (0.2770, 0.7230, 0.2500)  6 Os 2.70-2.75, 6 Re 2.70-2.76
Os (0.7230, 0.2770, 0.7500)  6 Os 2.70-2.75, 6 Re 2.70-2.76

Results
volume = 14.374 Å³/atom
formation enthalpy at 0 K = -0.06 eV/atom
energy = -428.5 eV per cell
density of states at the Fermi level = 0.654 states/eV per atom


DFT (meta-GGA SCAN) results for BiIr3O at its PBEsol-relaxed geometry.

abc: 4.2595 4.2595 4.2595
angles: 90.00 90.00 90.00
Last column: nearest neighbours and their distance in Å.
Element x y z (fractional)
Bi (0.0000, 0.0000, 0.0000)  12 Ir 3.01
Ir (0.0000, 0.5000, 0.5000)  2 O 2.13
Ir (0.5000, 0.0000, 0.5000)  2 O 2.13
Ir (0.5000, 0.5000, 0.0000)  2 O 2.13
O (0.5000, 0.5000, 0.5000)  6 Ir 2.13

Results
volume = 15.456 Å³/atom
energy = -292.7 eV per cell
density of states at the Fermi level = 1.283 states/eV per atom
formation energy (no corrections) = 1080 meV per atom


Copy entry 2 word for word.
DFT (meta-GGA SCAN) results for MgAuBr2 at its PBEsol-relaxed geometry.

abc: 4.8350 4.8350 3.6829
angles: 90.00 90.00 90.00
Last column: nearest neighbours and their distance in Å.
Element x y z (fractional)
Mg (0.0000, 0.0000, 0.0000)  8 Br 3.04
Au (0.5000, 0.5000, 0.0000)  8 Br 3.04
Br (0.0000, 0.5000, 0.5000)  4 Mg 3.04, 4 Au 3.04
Br (0.5000, 0.0000, 0.5000)  4 Mg 3.04, 4 Au 3.04

Results
volume = 21.524 Å³/atom
energy = -113.7 eV per cell
density of states at the Fermi level = 0.337 states/eV per atom
formation energy (no corrections) = -167 meV per atom


> Number 5 is which compound?

Re2Os


> Which value of volume does entry 6 give?

15.456 Å³/atom